Tb2CeCo after structural relaxation, computed with PBE-GGA.

Lattice parameters (Å, degrees): 3.722 3.722 9.456 78.65 78.65 60.00
Each line ends with the local moment (μB).
Atoms (fractional coordinates):
Tb 0.276 0.276 0.171  0.06
Ce 0.501 0.501 0.496  1.09
Tb 0.056 0.056 0.832  0.07
Co 0.666 0.666 0.002  0.02

* energy above the most stable polymorph in this dataset: 0.96 eV per formula unit
* energy relative to the elements: 0.07 eV per atom
* space-group type: R3m, No. 160

---

Rb2ScBe after structural relaxation, computed with PBE-GGA.

Lattice parameters (Å, degrees): 12.966 12.966 9.526 47.11 47.11 90.00
Atoms (fractional coordinates):
Rb 0.287 0.625 0.250
Sc 0.750 0.250 0.500
Rb 0.463 0.125 0.250
Rb 0.875 0.713 0.750
Be 0.500 0.500 0.000
Rb 0.375 0.537 0.750
Be 0.250 0.750 0.500
Sc 0.000 0.000 0.000

* energy relative to the elements: 0.94 eV per atom
* space-group type: I-42d, No. 122

---

Li2SnI4 after structural relaxation, computed with PBE-GGA.

Lattice parameters (Å, degrees): 6.240 6.240 8.760 69.13 69.13 90.00
Atoms (fractional coordinates):
I 0.204 0.204 0.592
Li 0.624 0.624 0.752
Sn 0.000 0.000 0.000
I 0.000 0.500 0.000
I 0.500 0.000 0.000
I 0.796 0.796 0.408
Li 0.376 0.376 0.248

* formation energy (no corrections): -454 kJ/mol of formula units
* energy above the most stable polymorph in this dataset: 1.49 eV per formula unit
* space-group type: I4/mmm, No. 139

---

Si2Te3 after structural relaxation, computed with PBE-GGA.

Lattice parameters (Å, degrees): 3.901 3.901 10.186 90.00 90.00 120.00
Atoms (fractional coordinates):
Si 0.333 0.667 0.823
Te 0.333 0.667 0.328
Si 0.667 0.333 0.177
Te 0.667 0.333 0.672
Te 0.000 0.000 0.000

* formation energy (no corrections): 25 kJ/mol of formula units
* space-group type: P-3m1, No. 164

---

ZrSbPtI2 after structural relaxation, computed with PBE-GGA.

Lattice parameters (Å, degrees): 5.356 5.356 5.327 90.00 90.00 90.00
Each line ends with the local moment (μB).
Atoms (fractional coordinates):
I 0.000 0.500 0.000  -0.06
I 0.500 0.000 0.000  -0.06
Pt 0.000 0.000 0.000  -0.05
Sb 0.000 0.000 0.500  -0.14
Zr 0.500 0.500 0.500  0.97

* formation energy (no corrections): 261 kJ/mol of formula units
* energy above the most stable polymorph in this dataset: 0.00 eV per formula unit
* space-group type: P4/mmm, No. 123

---

RbNiAu3 after structural relaxation, computed with PBE-GGA.

Lattice parameters (Å, degrees): 5.907 5.907 5.907 90.00 90.00 90.00
Each line ends with the local moment (μB).
Atoms (fractional coordinates):
Rb 0.000 0.000 0.000  0.02
Au 0.500 0.000 0.000  0.05
Au 0.000 0.500 0.000  0.11
Ni 0.500 0.500 0.500  1.01
Au 0.000 0.000 0.500  0.12

* energy above the most stable polymorph in this dataset: 8.06 eV per formula unit
* energy relative to the elements: 1.79 eV per atom
* space-group type: Pm-3m, No. 221

---

Sequential DFT total energy output: -22.016; -16.462; -18.741; -20.012; -19.107; -7.622 eV for the cell shown
Sequential magnetic moment output: 0.422; 0.000; 0.000; 0.000; 0.194; 0.317 μB/atom